VASP calculation (PBE) on a relaxed structure of DyEr8Cd2.

```
DyEr8Cd2
1.0
4.362 -7.467 0.000
4.362 7.467 0.000
-2.079 0.000 5.093
Dy Er Cd
1 8 2
direct
0.000 0.000 0.000
0.094 0.320 0.615
0.220 0.780 0.000
0.320 0.094 0.615
0.399 0.399 0.201
0.601 0.601 0.799
0.680 0.906 0.385
0.780 0.220 0.000
0.906 0.680 0.385
0.306 0.694 0.500
0.694 0.306 0.500
```



VASP calculation (PBE) on a relaxed structure of DyEr4Cd2.

```
DyEr4Cd2
1.0
2.533 1.462 10.117
-2.533 1.462 10.117
0.000 -2.924 10.117
Dy Er Cd
1 4 2
direct
0.000 0.000 0.000
0.203 0.203 0.203
0.394 0.394 0.394
0.606 0.606 0.606
0.797 0.797 0.797
0.100 0.100 0.100
0.900 0.900 0.900
```



VASP calculation (PBE) on a relaxed structure of Dy3Er2Cd.

```
Dy3Er2Cd
1.0
3.542 0.000 0.000
0.000 3.542 0.000
0.000 0.000 14.102
Dy Er Cd
3 2 1
direct
0.000 0.000 0.000
0.000 0.000 0.351
0.000 0.000 0.649
0.500 0.500 0.176
0.500 0.500 0.824
0.500 0.500 0.500
```

Computed properties:
Polymorph energy (0 for the lowest one) ... 0 meV per atom



| no. | calculated volume (Å³/f.u.) | raw total energy (eV per atom) | Fermi-level density of states (states/eV/cell) |
| --- | --- | --- | --- |
| 1 | 331.74 | -3.861 | 14.5 |
| 2 | 224.81 | -3.305 | 8.6 |
| 3 | 176.92 | -4.062 | 8.5 |